First-principles (PBE) data for Na2Cd2AgAu5 after structural relaxation, as listed in Alexandria.

The structure belongs to space group P4/mbm (No. 127); the cell edges are 10.6326, 10.6326 and 3.8091 Å and the angles 90.00°, 90.00° and 90.00°. Symmetry generates all atoms from Na at (0.1686, 0.3314, 0.0000), Cd at (0.1349, 0.6349, 0.0000), Ag at (0.0000, 0.0000, 0.0000), Au at (0.0000, 0.5000, 0.5000) and Au at (0.0521, 0.8097, 0.5000).

As for the density: 10.52 Mg/m³. Its total magnetization is 0.000 μB per atom. For the formation energy from the elements, the calculation gives -0.156 eV/atom. Its total energy is -25.26 eV/f.u.